1.
# LiHf2TiSn

LiHf2TiSn after structural relaxation (PBE, the Alexandria database).

```
5
Lattice="4.694 0.000 0.000 0.000 4.571 0.000 0.000 0.000 4.694" Properties=species:S:1:pos:R:3 pbc="T T T"
Li 0.000 0.000 0.000
Hf 2.347 0.000 0.000
Hf 0.000 0.000 2.347
Sn 0.000 2.286 0.000
Ti 2.347 2.286 2.347
```

Values from the calculation:
Formation enthalpy at 0 K: 2.82 eV/f.u.
Space group: P4/mmm, No. 123
Theoretical density: 8.7 g/cm³
Raw total energy: -6.18 eV per atom
V: 20.14 Å³ per atom


2.
# LiHf2VSn

LiHf2VSn after structural relaxation (PBE, the Alexandria database).

```
5
Lattice="4.828 0.000 0.000 0.000 5.150 0.000 0.000 0.000 4.828" Properties=species:S:1:pos:R:3 pbc="T T T"
Li 2.414 2.575 2.414
V 0.000 0.000 0.000
Hf 2.414 0.000 0.000
Hf 0.000 0.000 2.414
Sn 0.000 2.575 0.000
```

Values from the calculation:
Formation enthalpy at 0 K: 2.50 eV/f.u.
Space group: P4/mmm, No. 123
Theoretical density: 7.4 g/cm³
Raw total energy: -6.49 eV per atom
V: 24.01 Å³ per atom


3.
# SrLiHf3

SrLiHf3 after structural relaxation (PBE, the Alexandria database).

```
5
Lattice="5.250 0.000 0.000 0.000 5.250 0.000 0.000 0.000 5.250" Properties=species:S:1:pos:R:3 pbc="T T T"
Li 2.625 2.625 2.625
Hf 0.000 2.625 0.000
Hf 2.625 0.000 0.000
Hf 0.000 0.000 2.625
Sr 0.000 0.000 0.000
```

Values from the calculation:
Formation enthalpy at 0 K: 10.17 eV/f.u.
Space group: Pm-3m, No. 221
Theoretical density: 7.2 g/cm³
Energy relative to the lowest polymorph listed for this composition: 106.6 kJ per mole of atoms
Raw total energy: -4.66 eV per atom
V: 28.93 Å³ per atom


4.
# SrLi2Hf

SrLi2Hf after structural relaxation (PBE, the Alexandria database).

```
8
Lattice="-4.605 6.639 -0.410 -2.221 -1.065 7.706 -0.896 4.593 4.623" Properties=species:S:1:pos:R:3 pbc="T T T"
Li -2.099 1.185 5.928
Li -3.189 5.555 6.054
Li -3.469 5.292 1.855
Li -6.688 8.301 9.999
Hf 0.000 0.000 0.000
Hf -4.457 7.009 3.930
Sr -3.413 2.787 3.648
Sr -3.265 3.158 7.988
```

Values from the calculation:
Formation enthalpy at 0 K: 3.12 eV/f.u.
Space group: I-42d, No. 122
Theoretical density: 4.4 g/cm³
Energy relative to the lowest polymorph listed for this composition: 20.9 kJ per mole of atoms
Raw total energy: -3.09 eV per atom
V: 26.56 Å³ per atom


5.
# SrLi2Hf

SrLi2Hf after structural relaxation (PBE, the Alexandria database).

```
4
Lattice="4.561 -2.628 -0.299 0.047 -5.255 0.421 1.057 -2.973 -4.224" Properties=species:S:1:pos:R:3 pbc="T T T"
Hf 2.832 -5.428 -2.051
Li 4.249 -8.143 -3.076
Li 1.416 -2.714 -1.025
Sr 0.000 0.000 0.000
```

Values from the calculation:
Formation enthalpy at 0 K: 2.26 eV/f.u.
Space group: Fm-3m, No. 225
Theoretical density: 4.5 g/cm³
Energy relative to the lowest polymorph listed for this composition: 0.0 kJ per mole of atoms
Raw total energy: -3.30 eV per atom
V: 25.91 Å³ per atom


6.
# SrLiHf3

SrLiHf3 after structural relaxation (PBE, the Alexandria database).

```
5
Lattice="5.006 0.000 0.000 0.000 5.006 0.000 0.000 0.000 5.006" Properties=species:S:1:pos:R:3 pbc="T T T"
Li 0.000 0.000 0.000
Hf 0.000 2.503 0.000
Hf 2.503 0.000 0.000
Hf 0.000 0.000 2.503
Sr 2.503 2.503 2.503
```

Values from the calculation:
Formation enthalpy at 0 K: 4.65 eV/f.u.
Space group: Pm-3m, No. 221
Theoretical density: 8.3 g/cm³
Energy relative to the lowest polymorph listed for this composition: 0.0 kJ per mole of atoms
Raw total energy: -5.76 eV per atom
V: 25.09 Å³ per atom


7.
# SrLiHf2Ta

SrLiHf2Ta after structural relaxation (PBE, the Alexandria database).

```
5
Lattice="4.942 0.000 0.000 0.000 4.826 0.000 0.000 0.000 4.942" Properties=species:S:1:pos:R:3 pbc="T T T"
Sr 2.471 2.413 2.471
Ta 0.000 2.413 0.000
Hf 2.471 0.000 0.000
Hf 0.000 0.000 2.471
Li 0.000 0.000 0.000
```

Values from the calculation:
Formation enthalpy at 0 K: 5.63 eV/f.u.
Space group: P4/mmm, No. 123
Theoretical density: 8.9 g/cm³
Raw total energy: -5.95 eV per atom
V: 23.58 Å³ per atom


8.
# Sr2LiHfTl

Sr2LiHfTl after structural relaxation (PBE, the Alexandria database).

```
5
Lattice="5.722 0.000 0.000 0.000 4.971 0.000 0.000 0.000 5.722" Properties=species:S:1:pos:R:3 pbc="T T T"
Sr 0.000 0.000 2.861
Sr 2.861 0.000 0.000
Tl 0.000 2.486 0.000
Hf 2.861 2.486 2.861
Li 0.000 0.000 0.000
```

Values from the calculation:
Formation enthalpy at 0 K: 3.14 eV/f.u.
Space group: P4/mmm, No. 123
Theoretical density: 5.8 g/cm³
Raw total energy: -2.89 eV per atom
V: 32.55 Å³ per atom


9.
# SrLi2YHf

SrLi2YHf after structural relaxation (PBE, the Alexandria database).

```
5
Lattice="5.031 0.000 0.000 0.000 5.637 0.000 0.000 0.000 5.031" Properties=species:S:1:pos:R:3 pbc="T T T"
Li 2.515 0.000 0.000
Li 0.000 0.000 2.515
Sr 0.000 0.000 0.000
Y 2.515 2.819 2.515
Hf 0.000 2.819 0.000
```

Values from the calculation:
Formation enthalpy at 0 K: 5.53 eV/f.u.
Space group: P4/mmm, No. 123
Theoretical density: 4.3 g/cm³
Raw total energy: -3.28 eV per atom
V: 28.54 Å³ per atom


10.
# LiHfTa

LiHfTa after structural relaxation (PBE, the Alexandria database).

```
6
Lattice="-1.058 2.852 -1.287 -2.201 0.287 2.446 7.495 5.530 6.093" Properties=species:S:1:pos:R:3 pbc="T T T"
Ta 3.189 3.309 4.711
Ta 2.676 3.791 1.962
Li 0.013 1.826 -0.202
Li 5.852 5.274 6.875
Hf 0.930 1.642 2.874
Hf 4.935 5.458 3.799
```

Values from the calculation:
Formation enthalpy at 0 K: 0.42 eV/f.u.
Space group: P4/nmm, No. 129
Theoretical density: 10.0 g/cm³
Raw total energy: -7.77 eV per atom
V: 20.24 Å³ per atom


11.
# Li2HfTa

Li2HfTa after structural relaxation (PBE, the Alexandria database).

```
4
Lattice="3.069 -3.222 0.863 1.880 -0.296 4.114 -1.054 -3.461 2.730" Properties=species:S:1:pos:R:3 pbc="T T T"
Hf 0.000 0.000 0.000
Li 2.921 -5.234 5.780
Li 0.974 -1.745 1.927
Ta 1.947 -3.490 3.853
```

Values from the calculation:
Formation enthalpy at 0 K: 2.22 eV/f.u.
Space group: Fm-3m, No. 225
Theoretical density: 9.4 g/cm³
Energy relative to the lowest polymorph listed for this composition: 0.0 kJ per mole of atoms
Raw total energy: -5.85 eV per atom
V: 16.46 Å³ per atom


12.
# LiHfTa2

LiHfTa2 after structural relaxation (PBE, the Alexandria database).

```
8
Lattice="-3.489 -1.274 6.414 5.107 -5.072 1.770 2.300 -1.255 5.284" Properties=species:S:1:pos:R:3 pbc="T T T"
Li 4.108 -4.750 5.573
Li 0.809 -3.173 4.092
Hf 0.000 0.000 0.000
Hf -0.190 -2.851 7.895
Ta 3.230 -3.680 3.414
Ta 2.994 -6.349 11.074
Ta 2.479 -3.467 7.083
Ta -0.867 -1.708 5.367
```

Values from the calculation:
Formation enthalpy at 0 K: 3.01 eV/f.u.
Space group: I-42d, No. 122
Theoretical density: 12.2 g/cm³
Energy relative to the lowest polymorph listed for this composition: 23.9 kJ per mole of atoms
Raw total energy: -8.14 eV per atom
V: 18.58 Å³ per atom